# VMoIr4, optimized geometry, DFT PBE-GGA
# - DFT total energy: -0.345 Ha/atom
# - Density of states at the Fermi level: 0.90 states/eV/atom
# - Calculated formation energy: -159 meV/atom
data_VMoIr4
_chemical_formula_sum 'V2 Mo2 Ir8'
_cell_length_a 9.026
_cell_length_b 2.738
_cell_length_c 8.383
_cell_angle_alpha 90.00
_cell_angle_beta 120.22
_cell_angle_gamma 90.00
_space_group_name_H-M_alt 'C 1 2/m 1'
_space_group_IT_number 12
loop_
_space_group_symop_operation_xyz
'x,y,z'
'-x,-y,-z'
'-x,y,-z'
'x,-y,z'
'x+1/2,y+1/2,z'
'-x+1/2,-y+1/2,-z'
'-x+1/2,y+1/2,-z'
'x+1/2,-y+1/2,z'
loop_
_atom_site_label
_atom_site_type_symbol
_atom_site_fract_x
_atom_site_fract_y
_atom_site_fract_z
V1 V 0.000 0.000 0.000
Mo1 Mo 0.000 0.500 0.500
Ir1 Ir 0.154 0.000 0.344
Ir2 Ir 0.208 0.000 0.845


# V5Mo2Ir, optimized geometry, DFT PBE-GGA
# - DFT total energy: -0.361 Ha/atom
# - Density of states at the Fermi level: 0.27 states/eV/atom
# - Calculated formation energy: -303 meV/atom
data_V5Mo2Ir
_chemical_formula_sum 'V10 Mo4 Ir2'
_cell_length_a 6.070
_cell_length_b 6.070
_cell_length_c 6.091
_cell_angle_alpha 90.00
_cell_angle_beta 90.00
_cell_angle_gamma 90.00
_space_group_name_H-M_alt 'I 4/m m m'
_space_group_IT_number 139
_space_group_name_Hall '-I 4 2'
loop_
_atom_site_label
_atom_site_type_symbol
_atom_site_fract_x
_atom_site_fract_y
_atom_site_fract_z
V1 V 0.000 0.000 0.000
V2 V 0.250 0.250 0.250
Mo1 Mo 0.000 0.500 0.000
Ir1 Ir 0.000 0.000 0.500


# VMo2Ir2, optimized geometry, DFT PBE-GGA
# - DFT total energy: -0.356 Ha/atom
# - Density of states at the Fermi level: 0.92 states/eV/atom
# - Calculated formation energy: 0 meV/atom
data_VMo2Ir2
_chemical_formula_sum 'V2 Mo4 Ir4'
_cell_length_a 7.564
_cell_length_b 7.564
_cell_length_c 2.776
_cell_angle_alpha 90.00
_cell_angle_beta 90.00
_cell_angle_gamma 90.00
_space_group_name_H-M_alt 'P 4/m b m'
_space_group_IT_number 127
_space_group_name_Hall '-P 4 2ab'
loop_
_atom_site_label
_atom_site_type_symbol
_atom_site_fract_x
_atom_site_fract_y
_atom_site_fract_z
V1 V 0.000 0.000 0.000
Mo1 Mo 0.171 0.329 0.500
Ir1 Ir 0.127 0.627 0.000


# VMo2Ir, optimized geometry, DFT PBE-GGA
# - DFT total energy: -0.363 Ha/atom
# - Density of states at the Fermi level: 0.92 states/eV/atom
# - Calculated formation energy: 21 meV/atom
# - Relative energy among the computed polymorphs: 101 meV per atom
data_VMo2Ir
_chemical_formula_sum 'V4 Mo8 Ir4'
_cell_length_a 6.218
_cell_length_b 6.218
_cell_length_c 6.218
_cell_angle_alpha 90.00
_cell_angle_beta 90.00
_cell_angle_gamma 90.00
_space_group_name_H-M_alt 'F m -3 m'
_space_group_IT_number 225
_space_group_name_Hall '-F 4 2 3'
loop_
_atom_site_label
_atom_site_type_symbol
_atom_site_fract_x
_atom_site_fract_y
_atom_site_fract_z
V1 V 0.000 0.000 0.000
Mo1 Mo 0.250 0.250 0.250
Ir1 Ir 0.000 0.000 0.500


# VMo2Ir, optimized geometry, DFT PBE-GGA
# - DFT total energy: -0.367 Ha/atom
# - Density of states at the Fermi level: 1.08 states/eV/atom
# - Calculated formation energy: -80 meV/atom
# - Relative energy among the computed polymorphs: 0 meV per atom
data_VMo2Ir
_chemical_formula_sum 'V1 Mo2 Ir1'
_cell_length_a 3.853
_cell_length_b 3.853
_cell_length_c 4.042
_cell_angle_alpha 90.00
_cell_angle_beta 90.00
_cell_angle_gamma 90.00
_space_group_name_H-M_alt 'P 4/m m m'
_space_group_IT_number 123
_space_group_name_Hall '-P 4 2'
loop_
_atom_site_label
_atom_site_type_symbol
_atom_site_fract_x
_atom_site_fract_y
_atom_site_fract_z
V1 V 0.000 0.000 0.000
Mo1 Mo 0.000 0.500 0.500
Ir1 Ir 0.500 0.500 0.000


# VMoIrW, optimized geometry, DFT PBE-GGA
# - DFT total energy: -0.387 Ha/atom
# - Density of states at the Fermi level: 1.08 states/eV/atom
# - Calculated formation energy: -88 meV/atom
data_VMoIrW
_chemical_formula_sum 'V4 Mo4 Ir4 W4'
_cell_length_a 6.221
_cell_length_b 6.221
_cell_length_c 6.221
_cell_angle_alpha 90.00
_cell_angle_beta 90.00
_cell_angle_gamma 90.00
_space_group_name_H-M_alt 'F -4 3 m'
_space_group_IT_number 216
_space_group_name_Hall 'F -4 2 3'
loop_
_atom_site_label
_atom_site_type_symbol
_atom_site_fract_x
_atom_site_fract_y
_atom_site_fract_z
V1 V 0.000 0.000 0.000
Mo1 Mo 0.250 0.250 0.250
Ir1 Ir 0.250 0.250 0.750
W1 W 0.000 0.000 0.500


# VZnMoIr, optimized geometry, DFT PBE-GGA
# - DFT total energy: -0.280 Ha/atom
# - Density of states at the Fermi level: 0.84 states/eV/atom
# - Calculated formation energy: -107 meV/atom
data_VZnMoIr
_chemical_formula_sum 'V4 Zn4 Mo4 Ir4'
_cell_length_a 6.114
_cell_length_b 6.114
_cell_length_c 6.114
_cell_angle_alpha 90.00
_cell_angle_beta 90.00
_cell_angle_gamma 90.00
_space_group_name_H-M_alt 'F -4 3 m'
_space_group_IT_number 216
_space_group_name_Hall 'F -4 2 3'
loop_
_atom_site_label
_atom_site_type_symbol
_atom_site_fract_x
_atom_site_fract_y
_atom_site_fract_z
V1 V 0.000 0.000 0.000
Zn1 Zn 0.000 0.000 0.500
Mo1 Mo 0.250 0.250 0.250
Ir1 Ir 0.250 0.250 0.750


# V2ZnMoIr, optimized geometry, DFT PBE-GGA
# - DFT total energy: -0.245 Ha/atom
# - Density of states at the Fermi level: 1.72 states/eV/atom
# - Calculated formation energy: 1162 meV/atom
data_V2ZnMoIr
_chemical_formula_sum 'V2 Zn1 Mo1 Ir1'
_cell_length_a 4.575
_cell_length_b 4.575
_cell_length_c 4.792
_cell_angle_alpha 90.00
_cell_angle_beta 90.00
_cell_angle_gamma 90.00
_space_group_name_H-M_alt 'P 4/m m m'
_space_group_IT_number 123
_space_group_name_Hall '-P 4 2'
loop_
_atom_site_label
_atom_site_type_symbol
_atom_site_fract_x
_atom_site_fract_y
_atom_site_fract_z
V1 V 0.000 0.500 0.000
Zn1 Zn 0.000 0.000 0.500
Mo1 Mo 0.500 0.500 0.500
Ir1 Ir 0.500 0.500 0.000


# ZrVMoIr, optimized geometry, DFT PBE-GGA
# - DFT total energy: -0.356 Ha/atom
# - Density of states at the Fermi level: 0.46 states/eV/atom
# - Calculated formation energy: -357 meV/atom
data_ZrVMoIr
_chemical_formula_sum 'Zr4 V4 Mo4 Ir4'
_cell_length_a 6.367
_cell_length_b 6.367
_cell_length_c 6.367
_cell_angle_alpha 90.00
_cell_angle_beta 90.00
_cell_angle_gamma 90.00
_space_group_name_H-M_alt 'F -4 3 m'
_space_group_IT_number 216
_space_group_name_Hall 'F -4 2 3'
loop_
_atom_site_label
_atom_site_type_symbol
_atom_site_fract_x
_atom_site_fract_y
_atom_site_fract_z
Zr1 Zr 0.000 0.000 0.000
V1 V 0.000 0.000 0.500
Mo1 Mo 0.250 0.250 0.750
Ir1 Ir 0.250 0.250 0.250


# Zr2VMoIr, optimized geometry, DFT PBE-GGA
# - DFT total energy: -0.300 Ha/atom
# - Density of states at the Fermi level: 1.19 states/eV/atom
# - Calculated formation energy: 1009 meV/atom
data_Zr2VMoIr
_chemical_formula_sum 'Zr2 V1 Mo1 Ir1'
_cell_length_a 4.994
_cell_length_b 4.994
_cell_length_c 4.297
_cell_angle_alpha 90.00
_cell_angle_beta 90.00
_cell_angle_gamma 90.00
_space_group_name_H-M_alt 'P 4/m m m'
_space_group_IT_number 123
_space_group_name_Hall '-P 4 2'
loop_
_atom_site_label
_atom_site_type_symbol
_atom_site_fract_x
_atom_site_fract_y
_atom_site_fract_z
Zr1 Zr 0.000 0.500 0.000
V1 V 0.000 0.000 0.500
Mo1 Mo 0.000 0.000 0.000
Ir1 Ir 0.500 0.500 0.500


# MoIr3W, optimized geometry, DFT PBE-GGA
# - DFT total energy: -0.302 Ha/atom
# - Density of states at the Fermi level: 1.11 states/eV/atom
# - Calculated formation energy: 1851 meV/atom
# - Relative energy among the computed polymorphs: 0 meV per atom
data_MoIr3W
_chemical_formula_sum 'Mo1 Ir3 W1'
_cell_length_a 4.715
_cell_length_b 4.715
_cell_length_c 4.715
_cell_angle_alpha 90.00
_cell_angle_beta 90.00
_cell_angle_gamma 90.00
_space_group_name_H-M_alt 'P m -3 m'
_space_group_IT_number 221
_space_group_name_Hall '-P 4 2 3'
loop_
_atom_site_label
_atom_site_type_symbol
_atom_site_fract_x
_atom_site_fract_y
_atom_site_fract_z
Mo1 Mo 0.000 0.000 0.000
Ir1 Ir 0.000 0.500 0.500
W1 W 0.500 0.500 0.500


# Mo2IrW, optimized geometry, DFT PBE-GGA
# - DFT total energy: -0.397 Ha/atom
# - Density of states at the Fermi level: 0.81 states/eV/atom
# - Calculated formation energy: 59 meV/atom
# - Relative energy among the computed polymorphs: 66 meV per atom
data_Mo2IrW
_chemical_formula_sum 'Mo2 Ir1 W1'
_cell_length_a 2.722
_cell_length_b 4.033
_cell_length_c 5.715
_cell_angle_alpha 90.00
_cell_angle_beta 90.00
_cell_angle_gamma 90.00
_space_group_name_H-M_alt 'P m m m'
_space_group_IT_number 47
loop_
_space_group_symop_operation_xyz
'x,y,z'
'-x,-y,-z'
'-x,-y,z'
'x,y,-z'
'x,-y,-z'
'-x,y,z'
'-x,y,-z'
'x,-y,z'
loop_
_atom_site_label
_atom_site_type_symbol
_atom_site_fract_x
_atom_site_fract_y
_atom_site_fract_z
Mo1 Mo 0.000 0.000 0.242
Ir1 Ir 0.500 0.500 0.000
W1 W 0.500 0.500 0.500


# MoIr2W, optimized geometry, DFT PBE-GGA
# - DFT total energy: -0.362 Ha/atom
# - Density of states at the Fermi level: 1.28 states/eV/atom
# - Calculated formation energy: 530 meV/atom
# - Relative energy among the computed polymorphs: 843 meV per atom
data_MoIr2W
_chemical_formula_sum 'Mo4 Ir8 W4'
_cell_length_a 3.866
_cell_length_b 3.866
_cell_length_c 17.895
_cell_angle_alpha 90.00
_cell_angle_beta 90.00
_cell_angle_gamma 90.00
_space_group_name_H-M_alt 'I -4 2 d'
_space_group_IT_number 122
_space_group_name_Hall 'I -4 2bw'
loop_
_atom_site_label
_atom_site_type_symbol
_atom_site_fract_x
_atom_site_fract_y
_atom_site_fract_z
Mo1 Mo 0.000 0.000 0.000
Ir1 Ir 0.250 0.250 0.125
W1 W 0.000 0.000 0.500